# 1
First-principles (PBE) data for crystalline Hf4GaSb at its relaxed geometry, as listed in the Alexandria database.

**E_form (uncorrected)**: -0.399 eV per atom
**Total DFT energy (no corrections)**: -98.711 eV for the cell shown
**D(E_F)**: 0.50 states/eV per atom
**Energy above the lowest structure with this stoichiometry**: 0.00 eV/f.u.
**Theoretical density**: 11.9 g/cm3
**Size of the total moment**: 0.00 μB per formula unit
**Space group**: P4/mcc, No. 124

```
12
Lattice="6.7389 0.0000 0.0000 0.0000 6.7389 0.0000 0.0000 0.0000 5.5571" Properties=species:S:1:pos:R:3 pbc="T T T"
Hf 0.9681 2.2781 0.0000
Hf 0.9681 4.4607 2.7786
Hf 2.2781 0.9681 2.7786
Hf 2.2781 5.7708 0.0000
Hf 4.4607 0.9681 0.0000
Hf 4.4607 5.7708 2.7786
Hf 5.7708 2.2781 2.7786
Hf 5.7708 4.4607 0.0000
Ga 0.0000 0.0000 1.3893
Ga 0.0000 0.0000 4.1678
Sb 3.3694 3.3694 1.3893
Sb 3.3694 3.3694 4.1678
```

=====

# 2
First-principles (PBE) data for crystalline LaCeTe2S at its relaxed geometry, as listed in the Alexandria database.

**E_form (uncorrected)**: -1.569 eV per atom
**Total DFT energy (no corrections)**: -58.235 eV for the cell shown
**D(E_F)**: 1.51 states/eV per atom
**Theoretical density**: 5.6 g/cm3
**Size of the total moment**: 0.90 μB per formula unit
**Space group**: P4/nmm, No. 129

```
10
Lattice="4.5996 0.0000 0.0000 0.0000 4.5996 0.0000 0.0000 0.0000 15.8551" Properties=species:S:1:pos:R:3 pbc="T T T"
La 1.1499 1.1499 1.5883
La 3.4497 3.4497 14.2668
Ce 1.1499 1.1499 9.7024
Ce 3.4497 3.4497 6.1527
Te 1.1499 1.1499 6.4092
Te 1.1499 1.1499 12.6615
Te 3.4497 3.4497 3.1936
Te 3.4497 3.4497 9.4459
S 1.1499 3.4497 0.0000
S 3.4497 1.1499 0.0000
```

=====

# 3
First-principles (PBE) data for crystalline Cr2OsPb at its relaxed geometry, as listed in the Alexandria database.

**Total DFT energy (no corrections)**: -31.358 eV for the cell shown
**Formation enthalpy at 0 K**: 0.707 eV per atom
**D(E_F)**: 1.20 states/eV per atom
**Theoretical density**: 13.1 g/cm3
**Size of the total moment**: 4.88 μB per formula unit
**Space group**: I4/mmm, No. 139

```
4
Lattice="-2.0426 2.0426 3.8184 2.0426 -2.0426 3.8184 2.0426 2.0426 -3.8184" Properties=species:S:1:pos:R:3 pbc="T T T"
Cr 2.0426 0.0000 1.9092
Cr 0.0000 2.0426 1.9092
Os 0.0000 0.0000 0.0000
Pb 0.0000 0.0000 3.8184
```

=====

# 4
First-principles (PBE) data for crystalline LaHo2PaN4 at its relaxed geometry, as listed in the Alexandria database.

**E_form (uncorrected)**: -1.594 eV per atom
**Total DFT energy (no corrections)**: -69.635 eV for the cell shown
**D(E_F)**: 0.42 states/eV per atom
**Theoretical density**: 10.0 g/cm3
**Size of the total moment**: 0.00 μB per formula unit
**Space group**: P2/m, No. 10

```
8
Lattice="6.0736 0.0000 0.0000 0.0000 3.5367 0.0000 -2.0291 0.0000 5.8155" Properties=species:S:1:pos:R:3 pbc="T T T"
La 0.0000 0.0000 0.0000
Ho 2.0222 0.0000 2.9077
Ho 3.0368 1.7684 0.0000
Pa -1.0145 1.7684 2.9077
N 0.0294 0.0000 4.2655
N 0.9586 1.7684 1.6244
N 3.0859 1.7684 4.1911
N 4.0151 0.0000 1.5500
```

=====

# 5
First-principles (PBE) data for crystalline BaTa2Re at its relaxed geometry, as listed in the Alexandria database.

**Total DFT energy (no corrections)**: -33.241 eV for the cell shown
**Formation enthalpy at 0 K**: 1.209 eV per atom
**D(E_F)**: 0.85 states/eV per atom
**Energy above the lowest structure with this stoichiometry**: 2.82 eV/f.u.
**Theoretical density**: 14.4 g/cm3
**Size of the total moment**: 0.00 μB per formula unit
**Space group**: P4/mmm, No. 123

```
4
Lattice="4.9827 0.0000 0.0000 0.0000 4.9827 0.0000 0.0000 0.0000 3.1913" Properties=species:S:1:pos:R:3 pbc="T T T"
Ba 0.0000 0.0000 0.0000
Ta 0.0000 2.4914 1.5956
Ta 2.4914 0.0000 1.5956
Re 2.4914 2.4914 0.0000
```

=====

# 6
First-principles (PBE) data for crystalline HoPaMnRu at its relaxed geometry, as listed in the Alexandria database.

**Total DFT energy (no corrections)**: -32.899 eV for the cell shown
**Formation enthalpy at 0 K**: -0.095 eV per atom
**D(E_F)**: 1.23 states/eV per atom
**Theoretical density**: 11.7 g/cm3
**Size of the total moment**: 1.59 μB per formula unit
**Space group**: F-43m, No. 216

```
4
Lattice="0.0000 3.4007 3.4007 3.4007 0.0000 3.4007 3.4007 3.4007 0.0000" Properties=species:S:1:pos:R:3 pbc="T T T"
Ho 0.0000 0.0000 0.0000
Pa 3.4007 3.4007 3.4007
Mn 5.1011 5.1011 5.1011
Ru 1.7004 1.7004 1.7004
```

=====

# 7
First-principles (PBE) data for crystalline SrCdH2 at its relaxed geometry, as listed in the Alexandria database.

**Total DFT energy (no corrections)**: -18.810 eV for the cell shown
**D(E_F)**: 0.00 states/eV per atom
**Energy above the lowest structure with this stoichiometry**: 0.26 eV/f.u.
**Theoretical density**: 3.6 g/cm3
**Size of the total moment**: 0.00 μB per formula unit
**Space group**: I-42d, No. 122

```
8
Lattice="-2.6956 2.6956 6.3605 2.6956 -2.6956 6.3605 2.6956 2.6956 -6.3605" Properties=species:S:1:pos:R:3 pbc="T T T"
Sr 0.0000 0.0000 0.0000
Sr 0.0000 2.6956 3.1802
Cd 2.6956 0.0000 3.1802
Cd 0.0000 0.0000 6.3605
H 4.0434 0.9518 -1.5901
H 0.9518 1.3478 1.5901
H -1.3478 1.7438 4.7704
H 1.7438 1.3478 7.9506
```

=====

# 8
First-principles (PBE) data for crystalline Ca2CdCl at its relaxed geometry, as listed in the Alexandria database.

**E_form (uncorrected)**: -0.786 eV per atom
**Total DFT energy (no corrections)**: -9.910 eV for the cell shown
**D(E_F)**: 0.75 states/eV per atom
**Energy above the lowest structure with this stoichiometry**: 0.75 eV/f.u.
**Theoretical density**: 3.1 g/cm3
**Size of the total moment**: 0.00 μB per formula unit
**Space group**: Immm, No. 71

```
4
Lattice="-1.9437 3.3364 4.7836 1.9437 -3.3364 4.7836 1.9437 3.3364 -4.7836" Properties=species:S:1:pos:R:3 pbc="T T T"
Ca 0.0000 0.0000 2.0335
Ca 0.0000 0.0000 7.5338
Cd 0.0000 3.3364 0.0000
Cl 1.9437 0.0000 0.0000
```